1.
A plane-wave DFT calculation with PBE was carried out for a geometry-optimized YCuSi2 structure.

## Properties
**Formation energy from raw total energies**: -0.35 eV/atom
**Energy**: -5.7025 eV/atom
**Space group**: Pmmm
**D(E_F)**: 0.52 states/eV per atom

Cell: 3.934 3.957 4.908 Å, 90.00 90.00 90.00°
Positions (direct):
Y 0.000 0.000 0.000
Cu 0.500 0.000 0.500
Si 0.500 0.500 0.244
Si 0.500 0.500 0.756

2.
A plane-wave DFT calculation with PBE was carried out for a geometry-optimized Rb5C structure.

## Properties
**Calculated formation energy**: 4.70 eV per formula unit
**Energy**: -1.5608 eV/atom
**Space group**: P-62m
**Polymorph energy (0 for the lowest one)**: 0.0000 eV/atom
**D(E_F)**: 0.54 states/eV per atom

Cell: 10.679 10.679 4.458 Å, 90.00 90.00 120.00°
Positions (direct):
Rb 0.000 0.790 0.000
Rb 0.210 0.210 0.000
Rb 0.333 0.667 0.500
Rb 0.667 0.333 0.500
Rb 0.790 0.000 0.000
C 0.000 0.000 0.500

3.
A plane-wave DFT calculation with PBE was carried out for a geometry-optimized Tb6BiIr2Se3 structure.

## Properties
**Formation energy from raw total energies**: -1.26 eV/atom
**Energy**: -6.2427 eV/atom
**Space group**: C2/m
**D(E_F)**: 0.40 states/eV per atom

Cell: 9.447 9.447 8.559 Å, 105.42 105.42 25.17°
Positions (direct):
Tb 0.012 0.012 0.269
Tb 0.324 0.324 0.885
Tb 0.325 0.325 0.429
Tb 0.675 0.675 0.571
Tb 0.676 0.676 0.115
Tb 0.988 0.988 0.731
Bi 0.500 0.500 0.000
Ir 0.169 0.169 0.337
Ir 0.831 0.831 0.663
Se 0.160 0.160 0.838
Se 0.500 0.500 0.500
Se 0.840 0.840 0.162

Number 1: total magnetization 0.00 μB per atom. Number 2: total magnetization 0.32 μB per atom. Number 3: total magnetization 0.00 μB per atom.